No. 1
In2SbP | the Alexandria database | PBE | optimized geometry; crystal system = monoclinic; DOS at the Fermi energy = 1.55 states/eV/cell; formation energy (no corrections) = 0.125 eV per atom; ΔE to the lowest computed polymorph = 0.269 eV/atom
1.0
-1.7756 -1.1902 5.4198
-3.7731 -3.1306 3.1473
2.2761 -4.8797 2.1661
In Sb P
2 1 1
direct
0.7952 0.7952 0.7615
0.0096 0.0096 0.9948
0.1885 0.1885 0.3390
0.5067 0.5067 0.4046

No. 2
TbHfNi | the Alexandria database | PBE | optimized geometry; crystal system = tetragonal; DOS at the Fermi energy = 4.16 states/eV/cell; formation energy from the elements = -0.181 eV/atom; ΔE to the lowest computed polymorph = 0.143 eV/atom
1.0
3.3078 0.0000 0.0000
0.0000 3.3078 0.0000
-1.6539 -1.6539 5.7672
Ni Tb Hf
1 1 1
direct
0.6918 0.6918 0.3835
0.0113 0.0113 0.0226
0.2969 0.2969 0.5939

No. 3
Ba4P3 | the Alexandria database | PBE | optimized geometry; crystal system = orthorhombic; formation energy from the elements = -1.004 eV/atom; ΔE to the lowest computed polymorph = 0.000 eV/atom
1.0
11.3750 0.0000 0.0000
0.0000 12.6942 0.0000
0.0000 0.0000 13.4999
P Ba
24 32
direct
0.5000 0.1384 0.8870
0.5000 0.5344 0.9225
0.0000 0.3594 0.3649
0.8991 0.0000 0.5000
0.2363 0.1616 0.1798
0.7637 0.1616 0.1798
0.0000 0.1406 0.8649
0.7637 0.6616 0.3202
0.2363 0.6616 0.3202
0.1009 0.5000 0.0000
0.0000 0.6406 0.6351
0.5000 0.0344 0.5775
0.5000 0.3616 0.3870
0.1009 0.0000 0.5000
0.2363 0.3384 0.6798
0.5000 0.9656 0.4225
0.5000 0.8616 0.1130
0.5000 0.6384 0.6130
0.7637 0.3384 0.6798
0.7637 0.8384 0.8202
0.0000 0.8594 0.1351
0.8991 0.5000 0.0000
0.5000 0.4656 0.0775
0.2363 0.8384 0.8202
0.0000 0.6067 0.2051
0.0000 0.8933 0.7051
0.0000 0.7255 0.9193
0.0000 0.7745 0.4193
0.8198 0.5000 0.5000
0.6808 0.8311 0.5685
0.5000 0.1206 0.1248
0.1802 0.5000 0.5000
0.8198 0.0000 0.0000
0.2844 0.0995 0.7365
0.7156 0.5995 0.7635
0.0000 0.2255 0.5807
0.3192 0.6689 0.0685
0.0000 0.2745 0.0807
0.0000 0.3933 0.7949
0.7156 0.9005 0.2635
0.5000 0.6206 0.3752
0.2844 0.4005 0.2365
0.5000 0.3794 0.6248
0.6808 0.6689 0.0685
0.2844 0.9005 0.2635
0.3192 0.1689 0.4315
0.0000 0.1067 0.2949
0.6808 0.3311 0.9315
0.7156 0.4005 0.2365
0.3192 0.3311 0.9315
0.1802 0.0000 0.0000
0.3192 0.8311 0.5685
0.2844 0.5995 0.7635
0.6808 0.1689 0.4315
0.5000 0.8794 0.8752
0.7156 0.0995 0.7365

No. 4
TlV2TeOs | the Alexandria database | PBE | optimized geometry; crystal system = tetragonal; DOS at the Fermi energy = 5.72 states/eV/cell; formation energy (no corrections) = 1.531 eV per atom
1.0
-2.7332 -3.9118 -0.5702
3.4788 -2.7306 2.0580
-1.9696 0.7465 4.3198
Os V Tl Te
1 2 1 1
direct
0.0000 0.5000 0.0000
0.5000 0.0000 0.0000
0.0000 0.0000 0.5000
0.5000 0.5000 0.5000
0.0000 0.0000 0.0000

No. 5
Ac2SmIr | the Alexandria database | PBE | optimized geometry; crystal system = trigonal; DOS at the Fermi energy = 5.94 states/eV/cell; formation energy from the elements = -0.260 eV/atom; ΔE to the lowest computed polymorph = 0.149 eV/atom
1.0
-1.4940 -0.8333 -3.8102
-3.8783 -1.4852 -0.4436
-5.2324 8.4112 -2.0769
Ir Ac Sm
1 2 1
direct
0.0000 0.0000 0.0000
0.7245 0.7245 0.8264
0.2755 0.2755 0.1736
0.5000 0.5000 0.5000

No. 6
MgFe2PtSe | the Alexandria database | PBE | optimized geometry; crystal system = tetragonal; DOS at the Fermi energy = 5.31 states/eV/cell; formation energy (no corrections) = 1.337 eV per atom
1.0
-2.9532 3.4869 0.1079
-1.6841 -1.5488 3.9568
3.0759 2.5339 2.3010
Mg Fe Se Pt
1 2 1 1
direct
0.0000 0.0000 0.0000
0.5000 0.0000 0.0000
0.0000 0.5000 0.0000
0.0000 0.0000 0.5000
0.5000 0.5000 0.5000

No. 7
Ce6TeP3S2 | the Alexandria database | PBE | optimized geometry; crystal system = monoclinic; DOS at the Fermi energy = 31.74 states/eV/cell; formation energy (no corrections) = -1.649 eV per atom
1.0
-3.6364 -0.1915 -1.9481
-2.7040 -5.5491 5.5930
-0.5322 8.0372 4.5805
Ce P S Te
6 3 2 1
direct
0.3342 0.4149 0.6685
0.6753 0.0858 0.3505
0.6658 0.5851 0.3315
0.9990 0.7272 0.9980
0.3247 0.9142 0.6495
0.0010 0.2728 0.0020
0.8363 0.1687 0.6725
0.5000 0.5000 0.0000
0.1637 0.8313 0.3275
0.1685 0.3352 0.3370
0.8315 0.6648 0.6630
0.5000 0.0000 0.0000

No. 8
CaTiAs3 | the Alexandria database | PBE | optimized geometry; crystal system = cubic; DOS at the Fermi energy = 10.46 states/eV/cell; formation energy from the elements = 0.957 eV/atom; ΔE to the lowest computed polymorph = 1.440 eV/atom
1.0
5.1733 0.0000 0.0000
0.0000 5.1733 0.0000
0.0000 0.0000 5.1733
Ti As Ca
1 3 1
direct
0.5000 0.5000 0.5000
0.5000 0.0000 0.0000
0.0000 0.5000 0.0000
0.0000 0.0000 0.5000
0.0000 0.0000 0.0000

The records above yield electronic total energy values of -3.63; -6.97; -4.42; -5.46; -5.71; -4.27; -6.92; -3.81 eV per atom, respectively.